Version w
First-principles (PBE) data for SrVBi2 after structural relaxation, as listed in the Alexandria database.

Results
DOS(E_F)   0.99 states/eV per atom
ρ   7.5 g/cm3
Volume   247 Å³/cell

a = 6.905 Å, b = 6.905 Å, c = 6.905 Å
α = 104.48°, β = 104.48°, γ = 120.00°
Positions (direct):
Sr 0.000 0.000 0.000
Sr 0.750 0.250 0.500
V 0.250 0.750 0.500
V 0.500 0.500 0.000
Bi 0.174 0.625 0.049
Bi 0.375 0.424 0.549
Bi 0.576 0.125 0.951
Bi 0.875 0.826 0.451


Version x
First-principles (PBE) data for SrVBi2 after structural relaxation, as listed in the Alexandria database.

Results
DOS(E_F)   0.88 states/eV per atom
ρ   8.2 g/cm3
Volume   113 Å³/cell

a = 5.429 Å, b = 5.429 Å, c = 5.429 Å
α = 60.00°, β = 60.00°, γ = 60.00°
Positions (direct):
Sr 0.000 0.000 0.000
V 0.500 0.500 0.500
Bi 0.250 0.250 0.250
Bi 0.750 0.750 0.750


Comparing the structures above, version w comes out on top by 0.021 eV/atom.